[1]
! YMg2Zr GGA-PBE optimized geometry; values from VASP
! **ΔH_f (0 K)**: 0.14 eV per atom
! **Polymorph energy (0 for the lowest one)**: 0.1563 eV/atom
&SYSTEM
  ibrav = 0, nat = 4, ntyp = 3
/
ATOMIC_SPECIES
Y 88.91 Y.upf
Mg 24.30 Mg.upf
Zr 91.22 Zr.upf
ATOMIC_POSITIONS crystal
Y 0.000 0.000 0.000
Mg 0.000 0.500 0.500
Mg 0.500 0.000 0.500
Zr 0.500 0.500 0.000
CELL_PARAMETERS angstrom
3.448 0.000 0.000
0.000 5.167 0.000
0.000 0.000 5.574

***

[2]
! YMgZr3 GGA-PBE optimized geometry; values from VASP
! **ΔH_f (0 K)**: 1.28 eV per atom
! **Polymorph energy (0 for the lowest one)**: 0.3798 eV/atom
&SYSTEM
  ibrav = 0, nat = 5, ntyp = 3
/
ATOMIC_SPECIES
Y 88.91 Y.upf
Mg 24.30 Mg.upf
Zr 91.22 Zr.upf
ATOMIC_POSITIONS crystal
Y 0.000 0.000 0.000
Mg 0.500 0.500 0.500
Zr 0.000 0.000 0.500
Zr 0.000 0.500 0.000
Zr 0.500 0.000 0.000
CELL_PARAMETERS angstrom
5.253 0.000 0.000
0.000 5.253 0.000
0.000 0.000 5.253